(1)
Computed, not measured: crystalline TlIn2Os at its relaxed geometry at the PBE level of DFT.

Results
- Spin magnetization: 0.00 Bohr magnetons per cell
- SG: Pmmm, No. 47
- E above lowest polymorph: 406 meV/atom
- ΔH_f (0 K): 0.7653 eV/atom

abc: 3.363 4.982 5.027
angles: 90.00 90.00 90.00
Sites, in units of the cell vectors:
In 0.500 0.500 0.000
In 0.000 0.000 0.000
Tl 0.000 0.500 0.500
Os 0.500 0.000 0.500

=====

(2)
Computed, not measured: crystalline Cd3Ag2Pd at its relaxed geometry at the PBE level of DFT.

Results
- Spin magnetization: 0.00 Bohr magnetons per cell
- SG: Cmmm, No. 65
- E above lowest polymorph: 0 meV/atom
- ΔH_f (0 K): -0.1661 eV/atom

abc: 4.428 7.073 7.570
angles: 90.00 90.00 71.76
Sites, in units of the cell vectors:
Ag 0.000 0.000 0.000
Ag 0.666 0.668 0.500
Ag 0.000 0.000 0.500
Ag 0.334 0.332 0.500
Cd 0.829 0.341 0.238
Cd 0.171 0.659 0.238
Cd 0.500 0.000 0.753
Cd 0.829 0.341 0.762
Cd 0.500 0.000 0.247
Cd 0.171 0.659 0.762
Pd 0.661 0.678 0.000
Pd 0.339 0.322 0.000

=====

(3)
Computed, not measured: crystalline YHo2Ru at its relaxed geometry at the PBE level of DFT.

Results
- Spin magnetization: 0.00 Bohr magnetons per cell
- SG: P4/mmm, No. 123
- E above lowest polymorph: 107 meV/atom
- ΔH_f (0 K): -0.2221 eV/atom

abc: 3.422 3.422 8.900
angles: 90.00 90.00 90.00
Sites, in units of the cell vectors:
Y 0.500 0.500 0.500
Ho 0.000 0.000 0.184
Ho 0.000 0.000 0.816
Ru 0.500 0.500 0.000

=====

Question: The lowest ΔH_f (0 K) belongs to which entry?
Answer: YHo2Ru

=====

Question: Number 1 is which compound?
Answer: TlIn2Os

=====

Question: Which value of spin magnetization does entry 3 give?
Answer: 0.00 Bohr magnetons per cell